# 1
Density functional theory data (PBE) for a relaxed Li2NiRh4 crystal.

```
7
Lattice="-2.223 2.223 6.269 2.223 -2.223 6.269 2.223 2.223 -6.269" Properties=species:S:1:pos:R:3 pbc="T T T"
Li 0.000 0.000 1.471
Li 0.000 0.000 11.067
Ni 0.000 0.000 6.269
Rh 2.223 0.000 0.000
Rh 0.000 0.000 3.948
Rh 0.000 2.223 0.000
Rh 0.000 0.000 8.589
```

Results
Calculated volume: 124 Å³ per cell
Fermi-level density of states: 12.063 states/eV/cell
Space-group type: I4/mmm, No. 139
Raw total energy: -4.68 eV per atom
Size of the total moment: 4.688 μB/f.u.
Formation energy: 897 meV per atom


# 2
Density functional theory data (PBE) for a relaxed CdTeAu crystal.

```
3
Lattice="-1.482 2.002 6.095 1.482 -2.002 6.095 1.482 2.002 -6.095" Properties=species:S:1:pos:R:3 pbc="T T T"
Cd 0.000 0.000 0.000
Te 0.000 0.000 8.460
Au 0.000 0.000 4.524
```

Results
Calculated volume: 72 Å³ per cell
Fermi-level density of states: 1.102 states/eV/cell
Space-group type: Imm2, No. 44
Raw total energy: -2.38 eV per atom
Size of the total moment: 0.000 μB/f.u.
Energy relative to the lowest polymorph listed for this composition: 5.47 kcal/mol of atoms


Copy entry 1 word for word.
Density functional theory data (PBE) for a relaxed Li2NiRh4 crystal.

```
7
Lattice="-2.223 2.223 6.269 2.223 -2.223 6.269 2.223 2.223 -6.269" Properties=species:S:1:pos:R:3 pbc="T T T"
Li 0.000 0.000 1.471
Li 0.000 0.000 11.067
Ni 0.000 0.000 6.269
Rh 2.223 0.000 0.000
Rh 0.000 0.000 3.948
Rh 0.000 2.223 0.000
Rh 0.000 0.000 8.589
```

Results
Calculated volume: 124 Å³ per cell
Fermi-level density of states: 12.063 states/eV/cell
Space-group type: I4/mmm, No. 139
Raw total energy: -4.68 eV per atom
Size of the total moment: 4.688 μB/f.u.
Formation energy: 897 meV per atom


Question: Which formula does entry 2 have?
Answer: CdTeAu


Question: Which of these has the lowest Fermi-level density of states?
Answer: CdTeAu


Question: What is the Fermi-level density of states in the first record?
Answer: 12.063 states/eV/cell